No. 1
Below is ZnInPt2 at its PBEsol-relaxed geometry, with properties calculated at the SCAN level.

The value obtained for the final energy is -47.115 eV per atom. Its volume is 16.1 Å³/atom. As for the space group: R-3m. For the total magnetic moment, the calculation gives 0.00 μB/f.u.

Lattice parameters (Å, degrees): 2.980 2.980 8.523 79.93 79.93 60.00
Element x y z (fractional)
1 Pt 0.755 0.755 0.734
2 In 0.000 0.000 0.000
3 Pt 0.245 0.245 0.266
4 Zn 0.500 0.500 0.500


No. 2
Below is CaMgSi2 at its PBEsol-relaxed geometry, with properties calculated at the SCAN level.

The value obtained for the energy relative to the elements, uncorrected is 6 kJ per mole of atoms. Its volume is 19.6 Å³/atom. As for the space group: I-4m2. For the total magnetic moment, the calculation gives 0.00 μB/f.u.

Lattice parameters (Å, degrees): 4.115 4.115 5.461 112.13 112.13 90.00
Element x y z (fractional)
1 Ca 0.500 0.500 0.000
2 Si 0.000 0.000 0.000
3 Si 0.750 0.250 0.500
4 Mg 0.250 0.750 0.500


No. 3
Below is OsN3Cl at its PBEsol-relaxed geometry, with properties calculated at the SCAN level.

The value obtained for the energy relative to the elements, uncorrected is 126 kJ per mole of atoms. Its volume is 11.7 Å³/atom. As for the space group: Pm-3m. For the total magnetic moment, the calculation gives 3.07 μB/f.u.

Lattice parameters (Å, degrees): 3.879 3.879 3.879 90.00 90.00 90.00
Last column: magnetic moment on the atom in μB.
Element x y z (fractional)
1 Cl 0.500 0.500 0.500  0.39
2 Os 0.000 0.000 0.000  -0.45
3 N 0.000 0.500 0.000  0.77
4 N 0.500 0.000 0.000  0.77
5 N 0.000 0.000 0.500  0.77


Repeat the first record exactly.
Below is ZnInPt2 at its PBEsol-relaxed geometry, with properties calculated at the SCAN level.

The value obtained for the final energy is -47.115 eV per atom. Its volume is 16.1 Å³/atom. As for the space group: R-3m. For the total magnetic moment, the calculation gives 0.00 μB/f.u.

Lattice parameters (Å, degrees): 2.980 2.980 8.523 79.93 79.93 60.00
Element x y z (fractional)
1 Pt 0.755 0.755 0.734
2 In 0.000 0.000 0.000
3 Pt 0.245 0.245 0.266
4 Zn 0.500 0.500 0.500